RbTlSbMo2: relaxed, GGA-PBE.

For the uncorrected formation energy, the calculation gives 1.44 eV per atom. The calculation puts the total energy at -4.39 eV per atom. Its total magnetization is 5.83 μB per formula unit.

It has space group P4/mmm (No. 123), with a = 5.251 Å, b = 5.251 Å, c = 6.519 Å, α = 90.00°, β = 90.00° and γ = 90.00°. The inequivalent atoms are Rb at (0.000, 0.000, 0.000), Tl at (0.500, 0.500, 0.000), Sb at (0.000, 0.000, 0.500) and Mo at (0.000, 0.500, 0.500).


La12Cd3Hg5: relaxed, GGA-PBE.

The calculation puts the total energy at -3.10 eV per atom. Its total magnetization is 0.00 μB per formula unit.

It has space group Ia-3d (No. 230), with a = 18.519 Å, b = 18.519 Å, c = 18.519 Å, α = 90.00°, β = 90.00° and γ = 90.00°. The inequivalent atoms are La at (0.012, 0.074, 0.652), Cd at (0.000, 0.250, 0.125), Hg at (0.000, 0.000, 0.000) and Hg at (0.000, 0.250, 0.375).


Pm2Pr2In5: relaxed, GGA-PBE.

The calculation puts the total energy at -3.95 eV per atom. Its total magnetization is 0.00 μB per formula unit.

It has space group Cmce (No. 64), with a = 16.600 Å, b = 8.225 Å, c = 8.259 Å, α = 90.00°, β = 90.00° and γ = 90.00°. The inequivalent atoms are Pm at (0.000, 0.160, 0.161), Pr at (0.199, 0.000, 0.500), In at (0.000, 0.000, 0.500) and In at (0.130, 0.139, 0.862).


KLa2Tl: relaxed, GGA-PBE.

As for the energy above the most stable polymorph in this dataset: 0.0853 eV per atom. The calculation puts the total energy at -3.26 eV per atom. Its total magnetization is 0.00 μB per formula unit.

It has space group Cmm2 (No. 35), with a = 3.934 Å, b = 6.127 Å, c = 12.585 Å, α = 90.00°, β = 90.00° and γ = 90.00°. The inequivalent atoms are K at (0.000, 0.000, 0.000), La at (0.000, 0.000, 0.534), La at (0.000, 0.500, 0.303) and Tl at (0.000, 0.500, 0.759).


LiCa2ZnPd2: relaxed, GGA-PBE.

The calculation puts the total energy at -3.48 eV per atom. Its total magnetization is 0.00 μB per formula unit.

It has space group Ibam (No. 72), with a = 5.840 Å, b = 14.545 Å, c = 5.937 Å, α = 90.00°, β = 90.00° and γ = 90.00°. The inequivalent atoms are Li at (0.000, 0.000, 0.250), Ca at (0.248, 0.330, 0.000), Zn at (0.000, 0.500, 0.250) and Pd at (0.245, 0.386, 0.500).


Sr2ScI2O2: relaxed, GGA-PBE.

For the uncorrected formation energy, the calculation gives -2.23 eV per atom. The calculation puts the total energy at -5.48 eV per atom. Its total magnetization is 1.00 μB per formula unit.

It has space group I4/mmm (No. 139), with a = 4.281 Å, b = 4.281 Å, c = 19.745 Å, α = 90.00°, β = 90.00° and γ = 90.00°. The inequivalent atoms are Sr at (0.000, 0.000, 0.084), Sc at (0.000, 0.000, 0.500), I at (0.000, 0.000, 0.335) and O at (0.000, 0.500, 0.000).


ThSiGe: relaxed, GGA-PBE.

As for the energy above the most stable polymorph in this dataset: 0.0345 eV per atom. For the uncorrected formation energy, the calculation gives -0.53 eV per atom. The calculation puts the total energy at -6.35 eV per atom. Its total magnetization is 0.00 μB per formula unit.

It has space group P-6m2 (No. 187), with a = 4.2979 Å, b = 4.2979 Å, c = 4.0879 Å, α = 90.00°, β = 90.00° and γ = 120.00°. The inequivalent atoms are Th at (0.0000, 0.0000, 0.0000), Si at (0.3333, 0.6667, 0.5000) and Ge at (0.6667, 0.3333, 0.5000).


Sc5SbAs4: relaxed, GGA-PBE.

For the uncorrected formation energy, the calculation gives -1.27 eV per atom. The calculation puts the total energy at -6.70 eV per atom. Its total magnetization is 0.00 μB per formula unit.

It has space group I4/m (No. 87), with a = 8.800 Å, b = 8.800 Å, c = 5.586 Å, α = 90.00°, β = 90.00° and γ = 90.00°. The inequivalent atoms are Sc at (0.000, 0.000, 0.000), Sc at (0.103, 0.688, 0.500), Sb at (0.000, 0.000, 0.500) and As at (0.104, 0.701, 0.000).


Be2AgCl: relaxed, GGA-PBE.

As for the energy above the most stable polymorph in this dataset: 0.1428 eV per atom. For the uncorrected formation energy, the calculation gives 0.18 eV per atom. The calculation puts the total energy at -2.86 eV per atom. Its total magnetization is 0.00 μB per formula unit.

It has space group Cmm2 (No. 35), with a = 2.921 Å, b = 5.376 Å, c = 8.528 Å, α = 90.00°, β = 90.00° and γ = 90.00°. The inequivalent atoms are Be at (0.000, 0.000, 0.000), Be at (0.000, 0.500, 0.209), Ag at (0.000, 0.500, 0.778) and Cl at (0.000, 0.000, 0.372).


Al5Ga6: relaxed, GGA-PBE.

As for the energy above the most stable polymorph in this dataset: 0.0000 eV per atom. The calculation puts the total energy at -3.31 eV per atom. Its total magnetization is 0.00 μB per formula unit.

It has space group C2/m (No. 12), with a = 8.032 Å, b = 10.938 Å, c = 4.830 Å, α = 90.00°, β = 111.67° and γ = 90.00°. The inequivalent atoms are Al at (0.000, 0.000, 0.000), Al at (0.000, 0.135, 0.500), Al at (0.000, 0.275, 0.000), Ga at (0.187, 0.500, 0.169) and Ga at (0.193, 0.360, 0.659).


Pa2P4OsRu3: relaxed, GGA-PBE.

The calculation puts the total energy at -8.87 eV per atom. Its total magnetization is 0.00 μB per formula unit.

It has space group P-4m2 (No. 115), with a = 4.155 Å, b = 4.155 Å, c = 9.292 Å, α = 90.00°, β = 90.00° and γ = 90.00°. The inequivalent atoms are Pa at (0.000, 0.500, 0.244), P at (0.000, 0.000, 0.000), P at (0.000, 0.500, 0.633), P at (0.500, 0.500, 0.000), Os at (0.000, 0.000, 0.500), Ru at (0.000, 0.500, 0.884) and Ru at (0.500, 0.500, 0.500).


RbTbTe2Au: relaxed, GGA-PBE.

For the uncorrected formation energy, the calculation gives -0.87 eV per atom. The calculation puts the total energy at -3.91 eV per atom. Its total magnetization is 0.00 μB per formula unit.

It has space group P2/c (No. 13), with a = 8.820 Å, b = 4.873 Å, c = 8.522 Å, α = 90.00°, β = 96.30° and γ = 90.00°. The inequivalent atoms are Rb at (0.000, 0.123, 0.250), Tb at (0.500, 0.496, 0.750), Te at (0.259, 0.358, 0.974) and Au at (0.500, 0.000, 0.000).


TlIn2Rh: relaxed, GGA-PBE.

As for the energy above the most stable polymorph in this dataset: 0.3407 eV per atom. The calculation puts the total energy at -3.59 eV per atom. Its total magnetization is 0.00 μB per formula unit.

It has space group F-43m (No. 216), with a = 7.060 Å, b = 7.060 Å, c = 7.060 Å, α = 90.00°, β = 90.00° and γ = 90.00°. The inequivalent atoms are Tl at (0.000, 0.000, 0.000), In at (0.000, 0.000, 0.500), In at (0.250, 0.250, 0.250) and Rh at (0.250, 0.250, 0.750).


LaOsBr2: relaxed, GGA-PBE.

As for the energy above the most stable polymorph in this dataset: 0.4254 eV per atom. For the uncorrected formation energy, the calculation gives -0.06 eV per atom. The calculation puts the total energy at -4.93 eV per atom. Its total magnetization is 0.93 μB per formula unit.

It has space group Cmmm (No. 65), with a = 6.197 Å, b = 7.263 Å, c = 4.379 Å, α = 90.00°, β = 90.00° and γ = 90.00°. The inequivalent atoms are La at (0.000, 0.000, 0.000), Os at (0.000, 0.500, 0.000) and Br at (0.000, 0.290, 0.500).


TlFeAg2: relaxed, GGA-PBE.

As for the energy above the most stable polymorph in this dataset: 0.0246 eV per atom. The calculation puts the total energy at -3.74 eV per atom. Its total magnetization is 2.93 μB per formula unit.

It has space group Pmm2 (No. 25), with a = 3.009 Å, b = 3.728 Å, c = 6.624 Å, α = 90.00°, β = 90.00° and γ = 90.00°. The inequivalent atoms are Tl at (0.000, 0.000, 0.000), Fe at (0.500, 0.500, 0.745), Ag at (0.000, 0.000, 0.536) and Ag at (0.500, 0.500, 0.296).


TlCu3Cl4: relaxed, GGA-PBE.

For the uncorrected formation energy, the calculation gives -0.41 eV per atom. The calculation puts the total energy at -3.17 eV per atom. Its total magnetization is 0.00 μB per formula unit.

It has space group Cmmm (No. 65), with a = 6.942 Å, b = 13.740 Å, c = 4.319 Å, α = 90.00°, β = 90.00° and γ = 90.00°. The inequivalent atoms are Tl at (0.000, 0.000, 0.000), Cu at (0.000, 0.244, 0.500), Cu at (0.000, 0.500, 0.500) and Cl at (0.238, 0.371, 0.500).


Ca2HSeS: relaxed, GGA-PBE.

As for the energy above the most stable polymorph in this dataset: 0.0875 eV per atom. The calculation puts the total energy at -4.29 eV per atom. Its total magnetization is 0.00 μB per formula unit.

It has space group Amm2 (No. 38), with a = 7.100 Å, b = 4.180 Å, c = 7.043 Å, α = 90.00°, β = 90.00° and γ = 90.00°. The inequivalent atoms are Ca at (0.247, 0.000, 0.000), H at (0.000, 0.000, 0.812), Se at (0.500, 0.000, 0.664) and S at (0.000, 0.000, 0.326).


Rb6CdO: relaxed, GGA-PBE.

For the uncorrected formation energy, the calculation gives -0.34 eV per atom. The calculation puts the total energy at -1.80 eV per atom. Its total magnetization is 0.00 μB per formula unit.

It has space group C2/c (No. 15), with a = 15.146 Å, b = 7.944 Å, c = 15.278 Å, α = 90.00°, β = 105.39° and γ = 90.00°. The inequivalent atoms are Rb at (0.089, 0.097, 0.393), Rb at (0.146, 0.472, 0.022), Rb at (0.223, 0.108, 0.658), Cd at (0.000, 0.400, 0.750) and O at (0.250, 0.250, 0.500).


Ge3Se2S: relaxed, GGA-PBE.

As for the energy above the most stable polymorph in this dataset: 0.2217 eV per atom. For the uncorrected formation energy, the calculation gives 0.02 eV per atom. The calculation puts the total energy at -4.14 eV per atom. Its total magnetization is 0.00 μB per formula unit.

It has space group Fmmm (No. 69), with a = 7.337 Å, b = 12.335 Å, c = 16.698 Å, α = 90.00°, β = 90.00° and γ = 90.00°. The inequivalent atoms are Ge at (0.000, 0.000, 0.092), Ge at (0.000, 0.157, 0.348), Se at (0.233, 0.000, 0.500), Se at (0.250, 0.250, 0.250) and S at (0.000, 0.000, 0.276).